No. 1
Compound: NiTePt2
Source: Alexandria via LeMat-Bulk
Functional: PBE
Structure: relaxed

It has space group Fm-3m (No. 225), with a = 6.4145 Å, b = 6.4145 Å, c = 6.4145 Å, α = 90.00°, β = 90.00° and γ = 90.00°. The asymmetric unit holds Ni at (0.0000, 0.0000, 0.0000), Te at (0.0000, 0.0000, 0.5000) and Pt at (0.2500, 0.2500, 0.2500).


No. 2
Compound: NiTePt2
Source: Alexandria via LeMat-Bulk
Functional: PBE
Structure: relaxed

It has space group Cmmm (No. 65), with a = 5.3878 Å, b = 5.6654 Å, c = 4.5266 Å, α = 90.00°, β = 90.00° and γ = 90.00°. The asymmetric unit holds Ni at (0.0000, 0.0000, 0.0000), Te at (0.0000, 0.5000, 0.0000) and Pt at (0.0000, 0.2351, 0.5000).


No. 3
Compound: NiTePt2
Source: Alexandria via LeMat-Bulk
Functional: PBE
Structure: relaxed

It has space group P4/mmm (No. 123), with a = 3.4747 Å, b = 3.4747 Å, c = 5.5064 Å, α = 90.00°, β = 90.00° and γ = 90.00°. The asymmetric unit holds Ni at (0.0000, 0.0000, 0.0000), Te at (0.0000, 0.0000, 0.5000) and Pt at (0.5000, 0.5000, 0.2371).


No. 4
Compound: NiTePt2
Source: Alexandria via LeMat-Bulk
Functional: PBE
Structure: relaxed

It has space group P4mm (No. 99), with a = 3.4744 Å, b = 3.4744 Å, c = 5.4915 Å, α = 90.00°, β = 90.00° and γ = 90.00°. The asymmetric unit holds Ni at (0.0000, 0.0000, 0.0000), Te at (0.5000, 0.5000, 0.7442), Pt at (0.0000, 0.0000, 0.4849) and Pt at (0.5000, 0.5000, 0.2201).


No. 5
Compound: NiTePt2
Source: Alexandria via LeMat-Bulk
Functional: PBE
Structure: relaxed

It has space group Fmmm (No. 69), with a = 5.3888 Å, b = 5.5132 Å, c = 9.3083 Å, α = 90.00°, β = 90.00° and γ = 90.00°. The asymmetric unit holds Ni at (0.0000, 0.0000, 0.0000), Te at (0.0000, 0.0000, 0.5000) and Pt at (0.0000, 0.2500, 0.2500).


No. 6
Compound: NiTePt2
Source: Alexandria via LeMat-Bulk
Functional: PBE
Structure: relaxed

It has space group Pm (No. 6), with a = 3.9660 Å, b = 3.8879 Å, c = 4.5951 Å, α = 90.00°, β = 103.86° and γ = 90.00°. The asymmetric unit holds Ni at (0.0000, 0.0000, 0.0000), Te at (0.6698, 0.5000, 0.1269), Pt at (0.1242, 0.5000, 0.6713) and Pt at (0.5259, 0.0000, 0.4878).


Energy relative to the elements, uncorrected in eV per atom, matching the order above: 0.073, -0.019, 0.050, 0.066, 0.019, 0.004
D(E_F) in states/eV per atom, matching the order above: 0.91, 0.69, 0.84, 0.68, 0.64, 0.65
E above lowest polymorph in eV/atom, matching the order above: 0.092, 0.000, 0.069, 0.085, 0.038, 0.023